Density functional theory data (PBE-GGA) for a relaxed structure of Na2PaAgTe4.

Output
Total energy = -33.18 eV per cell
Energy relative to the elements, uncorrected = -5.63 eV per formula unit
Size of the total moment = 0.008 μB/atom

a = 7.4331 Å, b = 4.4819 Å, c = 7.9126 Å
α = 90.00°, β = 109.14°, γ = 90.00°
Space group P2/m (No. 10)
One atom of each set of equivalent atoms:
Na: 0.0000 0.0000 0.0000 x1
Na: 0.5000 0.5000 0.0000 x1
Pa: 0.0000 0.5000 0.5000 x1
Ag: 0.5000 0.0000 0.5000 x1
Te: 0.2360 0.0000 0.7322 x2
Te: 0.2543 0.5000 0.2790 x2